Record 1
A relaxed structure of NdDy2ErSe6, computed with PBE.

The structure in POSCAR format:
```
NdDy2ErSe6
1.0
-3.468 -5.667 -2.932
3.776 -5.703 -2.441
-0.308 -6.572 4.071
Dy Se Nd Er
2 6 1 1
Direct
0.512 0.512 0.463
0.016 0.016 0.953
0.418 0.726 0.748
0.222 0.900 0.251
0.108 0.418 0.748
0.900 0.627 0.251
0.726 0.108 0.748
0.626 0.222 0.251
0.313 0.313 0.060
0.819 0.819 0.544
```

Calculated values
- Electronic total energy: -5.789 eV/atom
- Magnetic moment: 0.0 μB/f.u.

=====

Record 2
A relaxed structure of NdDyEr2Se4, computed with PBE.

The structure in POSCAR format:
```
NdDyEr2Se4
1.0
4.029 0.000 0.000
0.000 7.215 -0.223
0.000 2.459 6.613
Se Er Nd Dy
4 2 1 1
Direct
0.500 0.241 0.747
0.500 0.759 0.253
0.000 0.763 0.740
0.000 0.237 0.260
0.000 0.000 0.000
0.500 0.000 0.500
0.500 0.500 0.000
0.000 0.500 0.500
```

Calculated values
- Electronic total energy: -5.795 eV/atom
- Magnetic moment: 0.0 μB/f.u.

=====

Record 3
A relaxed structure of NdDy3Er2Se6, computed with PBE.

The structure in POSCAR format:
```
NdDy3Er2Se6
1.0
-4.907 3.065 4.098
-1.117 -0.741 -6.962
-0.803 -6.733 2.042
Dy Se Nd Er
3 6 1 2
Direct
0.500 0.500 0.500
0.842 0.158 0.500
0.158 0.842 0.500
0.084 0.430 0.254
0.916 0.570 0.746
0.738 0.738 0.248
0.570 0.916 0.746
0.430 0.084 0.254
0.262 0.262 0.752
0.000 0.000 0.000
0.335 0.665 0.000
0.665 0.335 0.000
```

Calculated values
- Electronic total energy: -5.797 eV/atom
- Magnetic moment: 0.0 μB/f.u.

=====

Record 4
A relaxed structure of Nd4DyEr3Se8, computed with PBE.

The structure in POSCAR format:
```
Nd4DyEr3Se8
1.0
8.167 0.000 0.000
0.000 8.397 0.155
-4.083 -4.080 5.779
Se Nd Er Dy
8 4 3 1
Direct
0.256 0.269 0.513
0.742 0.732 0.987
0.755 0.268 0.510
0.258 0.268 0.013
0.755 0.268 0.013
0.245 0.732 0.987
0.245 0.732 0.490
0.744 0.731 0.487
0.500 0.000 0.500
0.500 0.000 0.000
0.000 0.000 0.000
0.000 0.000 0.500
0.500 0.500 0.500
0.000 0.500 0.500
0.500 0.500 0.000
0.000 0.500 0.000
```

Calculated values
- Electronic total energy: -5.855 eV/atom
- Magnetic moment: 0.0 μB/f.u.